A plane-wave DFT calculation with PBE with a Hubbard U was carried out for a relaxed structure of NpCo3Br2O6.

Cell lengths 5.4526, 5.9836, 6.0906 Å; angles 119.42, 75.77, 90.00 degrees
Site moments in Bohr magnetons follow the coordinates.
Positions (direct):
Np 0.5000 0.0000 0.0000  1.43
Co 0.0000 0.5000 0.0000  2.66
Co 0.5000 0.5000 0.5000  0.03
Co 0.5000 0.0000 0.5000  0.03
Br 0.1848 0.7130 0.4259  0.02
Br 0.8152 0.2870 0.5741  0.02
O 0.7053 0.3169 0.1295  -0.03
O 0.2947 0.6831 0.8705  -0.03
O 0.6683 0.7935 0.5870  -0.04
O 0.3317 0.2065 0.4130  -0.04
O 0.2947 0.1874 0.8705  -0.03
O 0.7053 0.8126 0.1295  -0.03

Calculated values
Calculated total energy: -6.362 eV/atom
SG: C2/m, No. 12